First-principles (GGA-PBE) data for crystalline Li4ErPd5 at its relaxed geometry, as listed in Alexandria via LeMat-Bulk.

The value obtained for the energy relative to the elements is -0.515 eV/atom.

a = 3.167 Å, b = 3.167 Å, c = 15.141 Å
α = 90.00°, β = 90.00°, γ = 90.00°
Space group P4/mmm (No. 123)
Symmetry-distinct sites (fractional):
1 Li 0.000 0.000 0.093 [2 per cell]
2 Li 0.000 0.000 0.278 [2 per cell]
3 Er 0.000 0.000 0.500 [1 per cell]
4 Pd 0.500 0.500 0.000 [1 per cell]
5 Pd 0.500 0.500 0.188 [2 per cell]
6 Pd 0.500 0.500 0.379 [2 per cell]